Below is a relaxed LiSi2Hg crystal, with properties calculated at the PBE-GGA level.

Output
The value obtained for the formation energy from raw total energies is 0.124 eV per atom. The calculation puts the density at 6.04 g/cm³. For the total magnetic moment, the calculation gives 0.00 μB per cell. The energy is -3.141 eV per atom.

a = 3.4144 Å, b = 3.4144 Å, c = 6.2186 Å
α = 90.00°, β = 90.00°, γ = 90.00°
Last column: nearest neighbours and their distance in Å.
Element x y z (fractional)
1 Hg 0.0000 0.0000 0.5157  4 Li 2.83, 1 Si 2.84
2 Si 0.5000 0.5000 0.1706  4 Si 2.51, 1 Li 2.59
3 Si 0.0000 0.0000 0.0592  4 Si 2.51
4 Li 0.5000 0.5000 0.7545  1 Si 2.59, 4 Hg 2.83